A relaxed Tl2SeBr crystal, computed with GGA-PBE.

Properties
Theoretical density   7.151 g/cm³
Space-group type   R3m, No. 160
Formation energy (no corrections)   -451 meV per atom
Final energy   -2.92 eV/atom
D(E_F)   0.86 states/eV/atom
E above lowest polymorph   0.81 kcal/mol of atoms
Spin magnetization   0.00 μB/f.u.

Structure (POSCAR):
```
Tl2SeBr
1.0
4.412 0.000 0.000
2.206 3.821 0.000
2.206 1.274 7.820
Se Br Tl
1 1 2
Cartesian
6.617 3.821 7.736 Se
4.412 2.547 3.979 Br
2.206 1.274 1.730 Tl
2.206 1.274 6.105 Tl
```